# Zr4TiRh5 (PBE, optimized geometry)
# * DFT total energy: -8.63 eV/atom
# * total magnetization: 0.000 Bohr magnetons per cell
# * theoretical density: 8.9 g cm⁻³
# * space-group type: P4/mmm, No. 123
# * energy relative to the elements: -0.744 eV per atom
data_Zr4TiRh5
_symmetry_space_group_name_H-M 'P 1'
_symmetry_Int_Tables_number 1
_symmetry_space_group_name_Hall 'P 1'
_cell_length_a 3.2599
_cell_length_b 3.2599
_cell_length_c 16.3603
_cell_angle_alpha 90.00
_cell_angle_beta 90.00
_cell_angle_gamma 90.00
loop_
_atom_site_label
_atom_site_type_symbol
_atom_site_fract_x
_atom_site_fract_y
_atom_site_fract_z
_atom_site_occupancy
Zr1 Zr 0.0000 0.0000 0.1933 1
Ti1 Ti 0.0000 0.0000 0.0000 1
Rh1 Rh 0.5000 0.5000 0.9112 1
Zr2 Zr 0.0000 0.0000 0.3974 1
Rh2 Rh 0.5000 0.5000 0.7055 1
Rh3 Rh 0.5000 0.5000 0.0888 1
Rh4 Rh 0.5000 0.5000 0.5000 1
Rh5 Rh 0.5000 0.5000 0.2945 1
Zr3 Zr 0.0000 0.0000 0.8067 1
Zr4 Zr 0.0000 0.0000 0.6026 1